## NaPaBe (PBE-GGA)

Data for a geometry-optimized NaPaBe structure.

relative energy among the computed polymorphs	0.595	eV per atom
E_tot	-3.163	eV per atom
SG	F-43m
size of the total moment	1.295	μB per formula unit

a b c (Å): 4.739 4.739 4.739
angles (deg): 60.00 60.00 60.00
Positions (direct):
Na  0.000  0.000  0.000
Pa  0.750  0.750  0.750
Be  0.500  0.500  0.500

***

## Zr3Bi2Pt2 (PBE-GGA)

Data for a geometry-optimized Zr3Bi2Pt2 structure.

E_tot	-6.895	eV per atom
SG	R3m
size of the total moment	0.015	μB per formula unit

a b c (Å): 8.389 8.389 8.389
angles (deg): 33.58 33.58 33.58
Positions (direct):
Zr  0.000  0.000  0.000
Zr  0.247  0.247  0.247
Zr  0.500  0.500  0.500
Bi  0.120  0.120  0.120
Bi  0.631  0.631  0.631
Pt  0.379  0.379  0.379
Pt  0.868  0.868  0.868

***

## ScTlCuIr (PBE-GGA)

Data for a geometry-optimized ScTlCuIr structure.

relative energy among the computed polymorphs	0.000	eV per atom
E_tot	-5.514	eV per atom
SG	F-43m
size of the total moment	0.000	μB per formula unit

a b c (Å): 4.623 4.623 4.623
angles (deg): 60.00 60.00 60.00
Positions (direct):
Sc  0.000  0.000  0.000
Tl  0.500  0.500  0.500
Cu  0.750  0.750  0.750
Ir  0.250  0.250  0.250

***

## LiMoAuS3 (PBE-GGA)

Data for a geometry-optimized LiMoAuS3 structure.

E_tot	-5.151	eV per atom
SG	Cmcm
size of the total moment	1.731	μB per formula unit

a b c (Å): 7.073 7.073 9.653
angles (deg): 90.00 90.00 152.70
Positions (direct):
Li  0.180  0.820  0.750
Li  0.820  0.180  0.250
Mo  0.500  0.500  0.000
Mo  0.500  0.500  0.500
Au  0.158  0.842  0.250
Au  0.842  0.158  0.750
S  0.133  0.867  0.013
S  0.133  0.867  0.487
S  0.456  0.544  0.250
S  0.544  0.456  0.750
S  0.867  0.133  0.513
S  0.867  0.133  0.987